Here is VCdSbTe2 after structural relaxation from Alexandria via LeMat-Bulk. Energies are from PBE.

abc: 5.5681 5.5681 5.3676
angles: 90.00 90.00 90.00
Closest atoms and distances in Å follow each position.
Fractional positions:
Sb (0.0000, 0.0000, 0.5000)  2 Cd 2.68
V (0.5000, 0.5000, 0.5000)  8 Te 3.87, 4 Sb 3.94
Te (0.0000, 0.5000, 0.0000)  2 Cd 2.78
Te (0.5000, 0.0000, 0.0000)  2 Cd 2.78
Cd (0.0000, 0.0000, 0.0000)  2 Sb 2.68, 4 Te 2.78

Values from the calculation:
The calculation puts the energy above the most stable polymorph in this dataset at 1.019 eV/atom. The calculation puts the raw formation energy at 1.24 eV per atom. As for the space group: P4/mmm, No. 123. Its total energy is -2.84 eV/atom.